(1)
VASP calculation (PBE) on a relaxed structure of TaSi2Sb.

The volume is 71.2 Å³ per cell. Its calculated total energy is -25.12 eV per cell. The value obtained for the density of states at the Fermi level is 3.1 states/eV per cell. As for the crystal system: tetragonal.

The structure belongs to space group P4/mmm (No. 123); the cell edges are 4.580, 4.580 and 3.393 Å and the angles 90.00°, 90.00° and 90.00°. The inequivalent atoms are Ta at (0.000, 0.000, 0.000), Si at (0.000, 0.500, 0.500) and Sb at (0.500, 0.500, 0.000).

(2)
VASP calculation (PBE) on a relaxed structure of Ta2SiSb.

The volume is 146.0 Å³ per cell. The calculation puts the energy above the most stable polymorph in this dataset at 193 meV/atom. The value obtained for the density of states at the Fermi level is 4.4 states/eV per cell. As for the crystal system: orthorhombic.

The structure belongs to space group Immm (No. 71); the cell edges are 3.739, 4.935 and 7.913 Å and the angles 90.00°, 90.00° and 90.00°. The inequivalent atoms are Ta at (0.000, 0.000, 0.213), Si at (0.000, 0.500, 0.500) and Sb at (0.000, 0.500, 0.000).

(3)
VASP calculation (PBE) on a relaxed structure of Ta2SiSb.

The volume is 218.3 Å³ per cell. The calculation puts the energy above the most stable polymorph in this dataset at 349 meV/atom. The value obtained for the density of states at the Fermi level is 8.1 states/eV per cell. As for the crystal system: trigonal.

The structure belongs to space group R-3m (No. 166, hexagonal axes); the cell edges are 3.0567, 3.0567 and 26.9815 Å and the angles 90.00°, 90.00° and 120.00°. The inequivalent atoms are Ta at (0.0000, 0.0000, 0.2447), Si at (0.0000, 0.0000, 0.5000) and Sb at (0.0000, 0.0000, 0.0000).

(4)
VASP calculation (PBE) on a relaxed structure of TaSi2Sb.

The volume is 154.2 Å³ per cell. Its calculated total energy is -51.96 eV per cell. The value obtained for the density of states at the Fermi level is 4.6 states/eV per cell. As for the crystal system: monoclinic.

The structure belongs to space group C2/m (No. 12); the cell edges are 8.903, 3.490 and 4.984 Å and the angles 90.00°, 95.08° and 90.00°. The inequivalent atoms are Ta at (0.000, 0.000, 0.000), Si at (0.222, 0.500, 0.157) and Sb at (0.000, 0.500, 0.500).